Entry 1:
# Ac3Sm4Y

Ac3Sm4Y after structural relaxation (PBE, Alexandria).

Summary:
Formation energy in eV per atom: 0.045
Size of the total moment in μB per cell: 0.0
Calculated total energy in eV per atom: -4.664

Lattice parameters (Å, degrees): 5.338 10.612 10.611 90.00 90.00 90.00
Space group Pmmn (No. 59, origin choice 2)
Symmetry-distinct sites (fractional):
Ac: 0.250 0.004 0.133 x4
Ac: 0.250 0.250 0.866 x2
Sm: 0.250 0.250 0.383 x2
Sm: 0.250 0.504 0.616 x4
Sm: 0.250 0.750 0.386 x2
Y: 0.250 0.750 0.863 x2

=====

Entry 2:
# TlSb3Os

TlSb3Os after structural relaxation (PBE, Alexandria).

Summary:
ΔE to the lowest computed polymorph in kJ per mole of atoms: 0.0
Size of the total moment in μB per cell: 0.0
Calculated total energy in eV per atom: -4.637

Lattice parameters (Å, degrees): 5.245 5.245 5.245 90.00 90.00 90.00
Space group Pm-3m (No. 221)
Symmetry-distinct sites (fractional):
Tl: 0.000 0.000 0.000 x1
Sb: 0.000 0.500 0.500 x3
Os: 0.500 0.500 0.500 x1

=====

Entry 3:
# Na5Eu3I12

Na5Eu3I12 after structural relaxation (PBE, Alexandria).

Summary:
Size of the total moment in μB per cell: 159.2
Calculated total energy in eV per atom: -4.079

Lattice parameters (Å, degrees): 18.783 18.783 18.783 90.00 90.00 90.00
Space group Ia-3d (No. 230)
Symmetry-distinct sites (fractional):
Na: 0.000 0.000 0.000 x16
Na: 0.000 0.250 0.375 x24
Eu: 0.000 0.250 0.125 x24
I: 0.023 0.071 0.653 x96